No. 1
! TbLuBeRu (PBE, relaxed); values from VASP
&SYSTEM
  ibrav = 0, nat = 4, ntyp = 4
/
ATOMIC_SPECIES
Ru 101.07 Ru.upf
Lu 174.97 Lu.upf
Tb 158.93 Tb.upf
Be 9.01 Be.upf
ATOMIC_POSITIONS angstrom
Ru 7.1803 4.1455 2.9313
Lu 0.0000 0.0000 0.0000
Tb 4.7868 2.7637 1.9542
Be 2.3934 1.3818 0.9771
CELL_PARAMETERS angstrom
4.7868 0.0000 0.0000
2.3934 4.1455 0.0000
2.3934 1.3818 3.9084
! formation energy from the elements = -177 meV/atom
! Fermi-level density of states = 3.39 states/eV per cell


No. 2
! LuTiBeRu (PBE, relaxed); values from VASP
&SYSTEM
  ibrav = 0, nat = 4, ntyp = 4
/
ATOMIC_SPECIES
Ru 101.07 Ru.upf
Lu 174.97 Lu.upf
Be 9.01 Be.upf
Ti 47.87 Ti.upf
ATOMIC_POSITIONS angstrom
Ru 4.5133 2.6058 1.8426
Lu 6.7700 3.9087 2.7639
Be 0.0000 0.0000 0.0000
Ti 2.2567 1.3029 0.9213
CELL_PARAMETERS angstrom
4.5133 0.0000 0.0000
2.2567 3.9087 0.0000
2.2567 1.3029 3.6851
! formation energy from the elements = -210 meV/atom
! Fermi-level density of states = 2.85 states/eV per cell


No. 3
! LuZrBeRu (PBE, relaxed); values from VASP
&SYSTEM
  ibrav = 0, nat = 4, ntyp = 4
/
ATOMIC_SPECIES
Ru 101.07 Ru.upf
Lu 174.97 Lu.upf
Zr 91.22 Zr.upf
Be 9.01 Be.upf
ATOMIC_POSITIONS angstrom
Ru -1.7391 0.1312 2.2573
Lu 0.0000 0.0000 0.0000
Zr -3.4782 0.2625 4.5145
Be -5.2173 0.3937 6.7718
CELL_PARAMETERS angstrom
-4.2477 -1.0541 1.5950
-0.5684 -1.2793 4.4428
-2.1403 2.8584 2.9912
! formation energy from the elements = -255 meV/atom
! Fermi-level density of states = 2.27 states/eV per cell